First-principles (PBE-GGA) data for a relaxed KMg6Al crystal, as listed in Alexandria.

* total moment: 0.00 μB per cell
* SG: Amm2, No. 38
* formation enthalpy at 0 K: 0.17 eV per atom
* DFT total energy: -1.63 eV/atom

The structure in POSCAR format:
```
KMg6Al
1.0
5.147 0.000 0.000
0.000 3.704 5.333
0.000 -3.704 5.333
K Mg Al
1 6 1
Direct
0.000 0.000 0.000
0.000 0.060 0.488
0.000 0.488 0.060
0.500 0.221 0.221
0.500 0.280 0.688
0.500 0.688 0.280
0.500 0.744 0.744
0.000 0.557 0.557
```